[1]
{
  "formula": "Lu2Cu3Mo4N3",
  "functional": "PBE",
  "state": "relaxed",
  "cell": [[4.6853, -2.7262, 0.0000], [4.6853, 2.7262, 0.0000], [-3.0533, 0.0000, 12.9460]],
  "species": ["Lu", "Lu", "Lu", "Lu", "Cu", "Cu", "Cu", "Cu", "Cu", "Cu", "Mo", "Mo", "Mo", "Mo", "Mo", "Mo", "Mo", "Mo", "N", "N", "N", "N", "N", "N"],
  "frac_coords": [[0.0377, 0.8779, 0.6175], [0.1221, 0.9623, 0.8825], [0.8779, 0.0377, 0.1175], [0.9623, 0.1221, 0.3825], [0.0829, 0.3987, 0.7499], [0.3987, 0.0829, 0.2499], [0.4368, 0.5632, 0.2500], [0.5632, 0.4368, 0.7500], [0.6013, 0.9171, 0.7501], [0.9171, 0.6013, 0.2501], [0.1966, 0.3667, 0.0775], [0.3167, 0.4613, 0.4231], [0.3667, 0.1966, 0.5775], [0.4613, 0.3167, 0.9231], [0.5387, 0.6833, 0.0769], [0.6333, 0.8034, 0.4225], [0.6833, 0.5387, 0.5769], [0.8034, 0.6333, 0.9225], [0.0000, 0.5000, 0.5000], [0.1521, 0.6959, 0.9999], [0.3041, 0.8479, 0.5001], [0.5000, 0.0000, 0.0000], [0.6959, 0.1521, 0.4999], [0.8479, 0.3041, 0.0001]],
  "crystal_system": "monoclinic",
  "final_energy_ev_per_cell": -187.502,
  "sg": "C2/c, No. 15"
}



[2]
{
  "formula": "LuCuMoOs",
  "functional": "PBE",
  "state": "relaxed",
  "cell": [[0.0000, 3.1869, 3.1869], [3.1869, 0.0000, 3.1869], [3.1869, 3.1869, 0.0000]],
  "species": ["Lu", "Cu", "Mo", "Os"],
  "frac_coords": [[0.0000, 0.0000, 0.0000], [0.5000, 0.5000, 0.5000], [0.2500, 0.2500, 0.2500], [0.7500, 0.7500, 0.7500]],
  "formation_energy_mev_per_atom": 534,
  "crystal_system": "cubic",
  "final_energy_ev_per_cell": -28.177,
  "sg": "F-43m, No. 216",
  "e_above_lowest_polymorph_mev_per_atom": 482
}



[3]
{
  "formula": "LuCuMoOs",
  "functional": "PBE",
  "state": "relaxed",
  "cell": [[0.0000, 3.2033, 3.2033], [3.2033, 0.0000, 3.2033], [3.2033, 3.2033, 0.0000]],
  "species": ["Lu", "Cu", "Mo", "Os"],
  "frac_coords": [[0.0000, 0.0000, 0.0000], [0.7500, 0.7500, 0.7500], [0.5000, 0.5000, 0.5000], [0.2500, 0.2500, 0.2500]],
  "formation_energy_mev_per_atom": 52,
  "crystal_system": "cubic",
  "final_energy_ev_per_cell": -30.107,
  "sg": "F-43m, No. 216",
  "e_above_lowest_polymorph_mev_per_atom": 0
}



[4]
{
  "formula": "LuCuMoOs",
  "functional": "PBE",
  "state": "relaxed",
  "cell": [[0.0000, 3.1724, 3.1724], [3.1724, 0.0000, 3.1724], [3.1724, 3.1724, 0.0000]],
  "species": ["Lu", "Cu", "Mo", "Os"],
  "frac_coords": [[0.0000, 0.0000, 0.0000], [0.2500, 0.2500, 0.2500], [0.7500, 0.7500, 0.7500], [0.5000, 0.5000, 0.5000]],
  "formation_energy_mev_per_atom": 54,
  "crystal_system": "cubic",
  "final_energy_ev_per_cell": -30.099,
  "sg": "F-43m, No. 216",
  "e_above_lowest_polymorph_mev_per_atom": 2
}